# PaCoIrO6 | the Alexandria database | GGA+U | optimized geometry
# Density, g cm⁻³: 8.627
# Magnetic moment, μB per atom: 0.10
# Final energy, eV/atom: -7.692
data_PaCoIrO6
_cell_length_a 5.3730
_cell_length_b 5.3730
_cell_length_c 8.9024
_cell_angle_alpha 90.00
_cell_angle_beta 90.00
_cell_angle_gamma 120.00
_space_group_name_H-M_alt 'P -3 1 c'
_space_group_IT_number 163
_space_group_name_Hall '-P 3 2c'
loop_
_atom_site_label
_atom_site_fract_x
_atom_site_fract_y
_atom_site_fract_z
Pa1 0.3333 0.6667 0.2500
Co1 0.0000 0.0000 0.0000
Ir1 0.3333 0.6667 0.7500
O1 0.0260 0.3505 0.6266